Record 1
Material: Nd2IBr2N
Method: DFT, PBE
State: optimized geometry

```
data_Nd2IBr2N
_space_group_name_H-M_alt 'P 1'
_space_group_IT_number 1
_space_group_name_Hall 'P 1'
_cell_length_a 9.775
_cell_length_b 9.775
_cell_length_c 12.291
_cell_angle_alpha 124.90
_cell_angle_beta 124.90
_cell_angle_gamma 24.09
loop_
_atom_site_label
_atom_site_type_symbol
_atom_site_fract_x
_atom_site_fract_y
_atom_site_fract_z
_atom_site_occupancy
Br1 Br 0.333 0.333 0.000 1
Br2 Br 0.966 0.966 0.747 1
Br3 Br 0.034 0.034 0.253 1
Nd1 Nd 0.574 0.574 0.459 1
Nd2 Nd 0.426 0.426 0.541 1
N1 N 0.576 0.576 0.652 1
N2 N 0.424 0.424 0.348 1
I1 I 0.768 0.768 0.368 1
Br4 Br 0.667 0.667 0.000 1
Nd3 Nd 0.861 0.861 0.215 1
Nd4 Nd 0.139 0.139 0.785 1
I2 I 0.232 0.232 0.632 1
```



Record 2
# ZrMo (PBE, optimized geometry)
data_ZrMo
_space_group_name_H-M_alt 'P 1'
_space_group_IT_number 1
_space_group_name_Hall 'P 1'
_cell_length_a 4.730
_cell_length_b 6.642
_cell_length_c 4.702
_cell_angle_alpha 90.00
_cell_angle_beta 90.00
_cell_angle_gamma 90.00
loop_
_atom_site_label
_atom_site_type_symbol
_atom_site_fract_x
_atom_site_fract_y
_atom_site_fract_z
_atom_site_occupancy
Zr1 Zr 0.416 0.500 0.500 1
Zr2 Zr 0.918 0.000 0.000 1
Mo1 Mo 0.417 0.999 0.500 1
Mo2 Mo 0.917 0.251 0.500 1
Zr3 Zr 0.916 0.750 0.500 1
Zr4 Zr 0.418 0.250 0.000 1
Mo3 Mo 0.917 0.499 0.000 1
Mo4 Mo 0.417 0.751 0.000 1
# DFT formation energy   87.8 meV per atom



Record 3
Material: Hf2ReSn
Method: DFT, PBE
State: optimized geometry

```
data_Hf2ReSn
_space_group_name_H-M_alt 'P 1'
_space_group_IT_number 1
_space_group_name_Hall 'P 1'
_cell_length_a 4.764
_cell_length_b 4.764
_cell_length_c 4.764
_cell_angle_alpha 60.00
_cell_angle_beta 60.00
_cell_angle_gamma 60.00
loop_
_atom_site_label
_atom_site_type_symbol
_atom_site_fract_x
_atom_site_fract_y
_atom_site_fract_z
_atom_site_occupancy
Hf1 Hf 0.000 0.000 0.000 1
Hf2 Hf 0.750 0.750 0.750 1
Sn1 Sn 0.500 0.500 0.500 1
Re1 Re 0.250 0.250 0.250 1
```



Record 4
Material: P2PtO7
Method: DFT, PBE
State: optimized geometry

```
data_P2PtO7
_space_group_name_H-M_alt 'P 1'
_space_group_IT_number 1
_space_group_name_Hall 'P 1'
_cell_length_a 4.745
_cell_length_b 6.732
_cell_length_c 7.903
_cell_angle_alpha 91.20
_cell_angle_beta 91.48
_cell_angle_gamma 107.74
loop_
_atom_site_label
_atom_site_type_symbol
_atom_site_fract_x
_atom_site_fract_y
_atom_site_fract_z
_atom_site_occupancy
P1 P 0.452 0.854 0.234 1
O1 O 0.698 0.405 0.307 1
O2 O 0.333 0.659 0.338 1
Pt1 Pt 0.000 0.000 0.000 1
O3 O 0.602 0.817 0.072 1
O4 O 0.667 0.341 0.662 1
Pt2 Pt 0.500 0.500 0.500 1
O5 O 0.302 0.595 0.693 1
O6 O 0.398 0.183 0.928 1
O7 O 0.878 0.726 0.551 1
P2 P 0.114 0.744 0.692 1
O8 O 0.017 0.740 0.877 1
P3 P 0.886 0.256 0.308 1
P4 P 0.548 0.146 0.766 1
O9 O 0.122 0.274 0.449 1
O10 O 0.683 0.024 0.352 1
O11 O 0.317 0.976 0.648 1
O12 O 0.819 0.071 0.791 1
O13 O 0.181 0.929 0.209 1
O14 O 0.983 0.260 0.123 1
```



The records above give, respectively, E values of -5.471 -9.610 -9.053 -6.729 eV per atom.